Record 1
## Tl3MoPb (PBE)

Data for crystalline Tl3MoPb at its relaxed geometry.

a b c (Å): 5.9749 5.9749 5.9749
angles (deg): 90.00 90.00 90.00
Last column: nearest neighbours and their distance in Å.
Fractional positions:
Tl (0.5000, 0.0000, 0.0000)  2 Pb 2.99
Mo (0.5000, 0.5000, 0.5000)  12 Tl 4.22
Tl (0.0000, 0.5000, 0.0000)  2 Pb 2.99
Pb (0.0000, 0.0000, 0.0000)  6 Tl 2.99
Tl (0.0000, 0.0000, 0.5000)  2 Pb 2.99

Calculated values
The calculation puts the total energy at -3.012 eV per atom. The volume comes out at 213.3 Å³/f.u. The energy relative to the lowest polymorph listed for this composition comes out at 0.6431 eV per atom. As for the symmetry: Pm-3m (221).


Record 2
## TlMoPb3 (PBE)

Data for crystalline TlMoPb3 at its relaxed geometry.

a b c (Å): 5.7932 5.7932 5.7932
angles (deg): 90.00 90.00 90.00
Last column: nearest neighbours and their distance in Å.
Fractional positions:
Pb (0.5000, 0.0000, 0.0000)  2 Tl 2.90
Pb (0.0000, 0.0000, 0.5000)  2 Tl 2.90
Mo (0.5000, 0.5000, 0.5000)  12 Pb 4.10
Tl (0.0000, 0.0000, 0.0000)  6 Pb 2.90
Pb (0.0000, 0.5000, 0.0000)  2 Tl 2.90

Calculated values
The calculation puts the total energy at -3.459 eV per atom. The volume comes out at 194.4 Å³/f.u. The energy relative to the lowest polymorph listed for this composition comes out at 0.9964 eV per atom. As for the symmetry: Pm-3m (221).


Record 3
## TlMo4Pb (PBE)

Data for crystalline TlMo4Pb at its relaxed geometry.

a b c (Å): 5.4384 5.4384 5.4384
angles (deg): 60.00 60.00 60.00
Last column: nearest neighbours and their distance in Å.
Fractional positions:
Mo (0.3742, 0.3742, 0.8774)  6 Mo 2.70-2.74
Tl (0.0000, 0.0000, 0.0000)  12 Mo 3.19, 4 Pb 3.33
Pb (0.7500, 0.7500, 0.7500)  12 Mo 3.19, 4 Tl 3.33
Mo (0.3742, 0.3742, 0.3742)  6 Mo 2.70-2.74
Mo (0.8774, 0.3742, 0.3742)  6 Mo 2.70-2.74
Mo (0.3742, 0.8774, 0.3742)  6 Mo 2.70-2.74

Calculated values
The calculation puts the total energy at -7.548 eV per atom. The volume comes out at 113.7 Å³/f.u. As for the symmetry: F-43m (216).


Record 4
## TmMoPb (PBE)

Data for crystalline TmMoPb at its relaxed geometry.

a b c (Å): 3.3124 3.3124 13.3293
angles (deg): 90.00 90.00 90.00
Last column: nearest neighbours and their distance in Å.
Fractional positions:
Mo (0.5000, 0.0000, 0.0499)  4 Mo 2.69
Mo (0.0000, 0.5000, 0.9501)  4 Mo 2.69
Pb (0.0000, 0.5000, 0.6093)  4 Pb 3.31, 4 Tm 3.50
Tm (0.0000, 0.5000, 0.1958)  5 Mo 3.04-3.28, 4 Tm 3.31
Tm (0.5000, 0.0000, 0.8042)  5 Mo 3.04-3.28, 4 Tm 3.31
Pb (0.5000, 0.0000, 0.3907)  4 Pb 3.31, 4 Tm 3.50

Calculated values
The calculation puts the total energy at -6.350 eV per atom. The volume comes out at 73.1 Å³/f.u. As for the symmetry: P4/nmm (129).


Record 5
## UMoPb (PBE)

Data for crystalline UMoPb at its relaxed geometry.

a b c (Å): 4.3252 4.3252 9.7960
angles (deg): 77.25 77.25 60.00
Last column: nearest neighbours and their distance in Å.
Fractional positions:
Mo (0.8951, 0.8951, 0.3146)  3 U 2.56
Pb (0.3749, 0.3749, 0.8753)  3 Mo 3.08, 3 Pb 3.44
Mo (0.1049, 0.1049, 0.6854)  3 U 2.56
Pb (0.6251, 0.6251, 0.1247)  3 Mo 3.08, 3 Pb 3.44
U (0.2079, 0.2079, 0.3762)  3 Mo 2.56
U (0.7921, 0.7921, 0.6238)  3 Mo 2.56

Calculated values
The calculation puts the total energy at -7.979 eV per atom. The volume comes out at 76.7 Å³/f.u. As for the symmetry: R-3m (166).


Record 6
## V2MoPb2 (PBE)

Data for crystalline V2MoPb2 at its relaxed geometry.

a b c (Å): 4.2822 4.2822 6.5715
angles (deg): 70.98 70.98 90.00
Last column: nearest neighbours and their distance in Å.
Fractional positions:
Pb (0.2500, 0.7500, 0.5000)  4 V 2.91, 4 Pb 3.03
V (0.4194, 0.4194, 0.1611)  1 V 1.88
Mo (0.0000, 0.0000, 0.0000)  8 V 3.17
V (0.5806, 0.5806, 0.8389)  1 V 1.88
Pb (0.7500, 0.2500, 0.5000)  4 V 2.91, 4 Pb 3.03

Calculated values
The calculation puts the total energy at -6.191 eV per atom. The volume comes out at 106.9 Å³/f.u. The energy relative to the lowest polymorph listed for this composition comes out at 0.4346 eV per atom. As for the symmetry: I4/mmm (139).


Record 7
## VMoPb3 (PBE)

Data for crystalline VMoPb3 at its relaxed geometry.

a b c (Å): 5.3841 5.3841 5.3841
angles (deg): 90.00 90.00 90.00
Last column: nearest neighbours and their distance in Å.
Fractional positions:
V (0.5000, 0.5000, 0.5000)  12 Pb 3.81
Mo (0.0000, 0.0000, 0.0000)  6 Pb 2.69
Pb (0.0000, 0.0000, 0.5000)  2 Mo 2.69
Pb (0.5000, 0.0000, 0.0000)  2 Mo 2.69
Pb (0.0000, 0.5000, 0.0000)  2 Mo 2.69

Calculated values
The calculation puts the total energy at -5.142 eV per atom. The volume comes out at 156.1 Å³/f.u. The energy relative to the lowest polymorph listed for this composition comes out at 0.0000 eV per atom. As for the symmetry: Pm-3m (221).


Record 8
## VMoPb2 (PBE)

Data for crystalline VMoPb2 at its relaxed geometry.

a b c (Å): 7.7199 7.7199 6.2280
angles (deg): 51.70 51.70 90.00
Last column: nearest neighbours and their distance in Å.
Fractional positions:
Pb (0.6222, 0.1250, 0.2500)  2 V 2.82, 2 Mo 2.85, 2 Pb 3.00
V (0.5000, 0.5000, 0.0000)  4 Pb 2.82, 2 Mo 3.00
Pb (0.3750, 0.3778, 0.7500)  2 V 2.82, 2 Mo 2.85, 2 Pb 3.00
V (0.2500, 0.7500, 0.5000)  4 Pb 2.82, 2 Mo 3.00
Pb (0.8750, 0.8722, 0.7500)  2 V 2.82, 2 Mo 2.85, 2 Pb 3.00
Mo (0.0000, 0.0000, 0.0000)  4 Pb 2.85, 2 V 3.00
Mo (0.7500, 0.2500, 0.5000)  4 Pb 2.85, 2 V 3.00
Pb (0.1278, 0.6250, 0.2500)  2 V 2.82, 2 Mo 2.85, 2 Pb 3.00

Calculated values
The calculation puts the total energy at -5.783 eV per atom. The volume comes out at 89.3 Å³/f.u. The energy relative to the lowest polymorph listed for this composition comes out at 0.3442 eV per atom. As for the symmetry: I-42d (122).


Record 9
## VMo3Pb (PBE)

Data for crystalline VMo3Pb at its relaxed geometry.

a b c (Å): 4.6051 4.6051 4.6051
angles (deg): 90.00 90.00 90.00
Last column: nearest neighbours and their distance in Å.
Fractional positions:
Mo (0.0000, 0.5000, 0.0000)  2 V 2.30
Pb (0.5000, 0.5000, 0.5000)  12 Mo 3.26
Mo (0.5000, 0.0000, 0.0000)  2 V 2.30
V (0.0000, 0.0000, 0.0000)  6 Mo 2.30
Mo (0.0000, 0.0000, 0.5000)  2 V 2.30

Calculated values
The calculation puts the total energy at -7.840 eV per atom. The volume comes out at 97.7 Å³/f.u. The energy relative to the lowest polymorph listed for this composition comes out at 0.0000 eV per atom. As for the symmetry: Pm-3m (221).


Record 10
## V2MoPb (PBE)

Data for crystalline V2MoPb at its relaxed geometry.

a b c (Å): 7.2938 7.2938 5.8544
angles (deg): 51.47 51.47 90.00
Last column: nearest neighbours and their distance in Å.
Fractional positions:
V (0.8750, 0.8248, 0.7500)  2 Mo 2.43
Mo (0.2500, 0.7500, 0.5000)  4 V 2.43
Pb (0.0000, 0.0000, 0.0000)  2 Mo 2.77, 4 V 2.93
Mo (0.5000, 0.5000, 0.0000)  4 V 2.43
V (0.5748, 0.1250, 0.2500)  2 Mo 2.43
Pb (0.7500, 0.2500, 0.5000)  2 Mo 2.77, 4 V 2.93
V (0.3750, 0.4252, 0.7500)  2 Mo 2.43
V (0.1752, 0.6250, 0.2500)  2 Mo 2.43

Calculated values
The calculation puts the total energy at -7.383 eV per atom. The volume comes out at 73.7 Å³/f.u. As for the symmetry: I-42d (122).


Record 11
## VMoPb2 (PBE)

Data for crystalline VMoPb2 at its relaxed geometry.

a b c (Å): 4.8555 4.8555 4.8555
angles (deg): 60.00 60.00 60.00
Last column: nearest neighbours and their distance in Å.
Fractional positions:
Mo (0.5000, 0.5000, 0.5000)  8 Pb 2.97
Pb (0.2500, 0.2500, 0.2500)  4 Mo 2.97, 4 V 2.97
Pb (0.7500, 0.7500, 0.7500)  4 Mo 2.97, 4 V 2.97
V (0.0000, 0.0000, 0.0000)  8 Pb 2.97

Calculated values
The calculation puts the total energy at -6.127 eV per atom. The volume comes out at 80.9 Å³/f.u. The energy relative to the lowest polymorph listed for this composition comes out at 0.0000 eV per atom. As for the symmetry: Fm-3m (225).


Record 12
## V2MoPb2 (PBE)

Data for crystalline V2MoPb2 at its relaxed geometry.

a b c (Å): 6.5380 6.5380 4.5208
angles (deg): 90.00 90.00 90.00
Last column: nearest neighbours and their distance in Å.
Fractional positions:
V (0.8638, 0.6362, 0.0000)  1 V 2.52, 2 Mo 2.54
Pb (0.6791, 0.8209, 0.5000)  6 V 2.83-3.07
Mo (0.0000, 0.0000, 0.0000)  4 V 2.54
Pb (0.8209, 0.3209, 0.5000)  6 V 2.83-3.07
V (0.1362, 0.3638, 0.0000)  1 V 2.52, 2 Mo 2.54
V (0.6362, 0.1362, 0.0000)  1 V 2.52, 2 Mo 2.54
Pb (0.3209, 0.1791, 0.5000)  6 V 2.83-3.07
Pb (0.1791, 0.6791, 0.5000)  6 V 2.83-3.07
Mo (0.5000, 0.5000, 0.0000)  4 V 2.54
V (0.3638, 0.8638, 0.0000)  1 V 2.52, 2 Mo 2.54

Calculated values
The calculation puts the total energy at -6.626 eV per atom. The volume comes out at 96.6 Å³/f.u. The energy relative to the lowest polymorph listed for this composition comes out at 0.0000 eV per atom. As for the symmetry: P4/mbm (127).